1.
Computed, not measured: a geometry-optimized CuTcN2O structure at the PBE level of DFT.

density of states at the Fermi level: 1.1 states/eV/f.u.
crystal system: tetragonal
volume: 58 Å³/f.u.
uncorrected energy: -6.72 eV per atom

a = 3.869 Å, b = 3.869 Å, c = 3.869 Å
α = 90.00°, β = 90.00°, γ = 90.00°
Fractional positions:
Cu: 0.000 0.000 0.000
Tc: 0.500 0.500 0.500
N: 0.000 0.500 0.500
N: 0.500 0.000 0.500
O: 0.500 0.500 0.000

=====

2.
Computed, not measured: a geometry-optimized LiSc2Al2Pd5 structure at the PBE level of DFT.

density of states at the Fermi level: 4.7 states/eV/f.u.
crystal system: tetragonal
volume: 166 Å³/f.u.
formation energy from the elements: -0.704 eV per atom
uncorrected energy: -5.51 eV per atom

a = 9.584 Å, b = 9.584 Å, c = 3.611 Å
α = 90.00°, β = 90.00°, γ = 90.00°
Fractional positions:
Li: 0.000 0.000 0.000
Li: 0.500 0.500 0.000
Sc: 0.174 0.326 0.000
Sc: 0.326 0.826 0.000
Sc: 0.674 0.174 0.000
Sc: 0.826 0.674 0.000
Al: 0.125 0.625 0.000
Al: 0.375 0.125 0.000
Al: 0.625 0.875 0.000
Al: 0.875 0.375 0.000
Pd: 0.000 0.500 0.500
Pd: 0.070 0.797 0.500
Pd: 0.203 0.070 0.500
Pd: 0.297 0.570 0.500
Pd: 0.430 0.297 0.500
Pd: 0.500 0.000 0.500
Pd: 0.570 0.703 0.500
Pd: 0.703 0.430 0.500
Pd: 0.797 0.930 0.500
Pd: 0.930 0.203 0.500

=====

3.
Computed, not measured: a geometry-optimized Ac3HoPb5 structure at the PBE level of DFT.

density of states at the Fermi level: 9.4 states/eV/f.u.
crystal system: hexagonal
volume: 304 Å³/f.u.
formation energy from the elements: -0.486 eV per atom
uncorrected energy: -4.42 eV per atom

a = 10.091 Å, b = 10.091 Å, c = 6.896 Å
α = 90.00°, β = 90.00°, γ = 120.00°
Fractional positions:
Ac: 0.000 0.383 0.250
Ac: 0.000 0.617 0.750
Ac: 0.383 0.000 0.250
Ac: 0.383 0.383 0.750
Ac: 0.617 0.000 0.750
Ac: 0.617 0.617 0.250
Ho: 0.000 0.000 0.000
Ho: 0.000 0.000 0.500
Pb: 0.000 0.274 0.750
Pb: 0.000 0.726 0.250
Pb: 0.274 0.000 0.750
Pb: 0.274 0.274 0.250
Pb: 0.333 0.667 0.000
Pb: 0.333 0.667 0.500
Pb: 0.667 0.333 0.000
Pb: 0.667 0.333 0.500
Pb: 0.726 0.000 0.250
Pb: 0.726 0.726 0.750

=====

4.
Computed, not measured: a geometry-optimized La2CdGa4Cu3 structure at the PBE level of DFT.

density of states at the Fermi level: 6.4 states/eV/f.u.
crystal system: tetragonal
volume: 198 Å³/f.u.
formation energy from the elements: -0.432 eV per atom
uncorrected energy: -3.95 eV per atom

a = 4.345 Å, b = 4.345 Å, c = 10.464 Å
α = 90.00°, β = 90.00°, γ = 90.00°
Fractional positions:
La: 0.000 0.500 0.241
La: 0.500 0.000 0.759
Cd: 0.000 0.000 0.500
Ga: 0.000 0.000 0.000
Ga: 0.000 0.500 0.648
Ga: 0.500 0.000 0.352
Ga: 0.500 0.500 0.000
Cu: 0.000 0.500 0.880
Cu: 0.500 0.000 0.120
Cu: 0.500 0.500 0.500

=====

5.
Computed, not measured: a geometry-optimized Al2AgPt2 structure at the PBE level of DFT.

density of states at the Fermi level: 1.9 states/eV/f.u.
crystal system: tetragonal
offset from the most stable computed form: 2.69 eV per formula unit
volume: 95 Å³/f.u.
formation energy from the elements: -0.251 eV per atom
uncorrected energy: -4.73 eV per atom

a = 6.610 Å, b = 6.610 Å, c = 6.610 Å
α = 144.89°, β = 144.89°, γ = 50.50°
Fractional positions:
Al: 0.000 0.500 0.500
Al: 0.500 0.000 0.500
Ag: 0.154 0.154 0.000
Pt: 0.377 0.377 0.000
Pt: 0.855 0.855 0.000

=====

6.
Computed, not measured: a geometry-optimized LaErTm structure at the PBE level of DFT.

density of states at the Fermi level: 4.5 states/eV/f.u.
crystal system: triclinic
offset from the most stable computed form: 0.00 eV per formula unit
volume: 98 Å³/f.u.
formation energy from the elements: 0.035 eV per atom
uncorrected energy: -4.62 eV per atom

a = 6.190 Å, b = 6.191 Å, c = 6.247 Å
α = 99.69°, β = 99.68°, γ = 119.99°
Fractional positions:
La: 0.081 0.420 0.250
La: 0.919 0.580 0.750
Er: 0.251 0.248 0.750
Er: 0.749 0.752 0.250
Tm: 0.417 0.083 0.250
Tm: 0.583 0.917 0.750